(1)
Computed, not measured: MgRe2Mo after structural relaxation at the PBE level of DFT.

Lattice parameters (Å, degrees): 2.8204 2.8204 27.6584 90.00 90.00 120.00
Space group R-3m (No. 166, hexagonal axes)
Unique sites:
Mg 0.0000 0.0000 0.0000
Re 0.0000 0.0000 0.2465
Mo 0.0000 0.0000 0.5000



(2)
Computed, not measured: LaCd2SnPd2 after structural relaxation at the PBE level of DFT.

Lattice parameters (Å, degrees): 5.335 5.335 10.883 90.00 90.00 90.00
Space group I4/mmm (No. 139)
Unique sites:
La 0.000 0.000 0.000
Cd 0.000 0.500 0.250
Sn 0.000 0.000 0.500
Pd 0.000 0.000 0.259



(3)
Computed, not measured: NbGe2W2 after structural relaxation at the PBE level of DFT.

Lattice parameters (Å, degrees): 7.128 7.128 3.188 90.00 90.00 90.00
Space group P4/mbm (No. 127)
Unique sites:
Nb 0.000 0.000 0.000
Ge 0.150 0.350 0.000
W 0.143 0.643 0.500



(4)
Computed, not measured: CaLaTi3 after structural relaxation at the PBE level of DFT.

Computed properties:
relative energy among the computed polymorphs	0	meV per atom

Lattice parameters (Å, degrees): 4.968 4.968 4.968 90.00 90.00 90.00
Space group Pm-3m (No. 221)
Unique sites:
Ca 0.000 0.000 0.000
La 0.500 0.500 0.500
Ti 0.000 0.500 0.500



(5)
Computed, not measured: PaRe4P4 after structural relaxation at the PBE level of DFT.

Lattice parameters (Å, degrees): 6.077 6.077 7.813 90.00 90.00 90.00
Space group P4_2/nmc (No. 137, origin choice 2)
Unique sites:
Pa 0.250 0.750 0.250
Re 0.036 0.250 0.149
P 0.014 0.250 0.446



(6)
Computed, not measured: Dy4GeC after structural relaxation at the PBE level of DFT.

Lattice parameters (Å, degrees): 8.876 3.609 12.363 90.00 127.19 90.00
Space group P2/c (No. 13)
Unique sites:
Dy 0.121 0.000 0.171
Dy 0.294 0.499 0.019
Ge 0.500 0.001 0.750
C 0.000 0.500 0.000



| no. | energy of formation (eV per atom) | volume (A^3/atom) |
| --- | --- | --- |
| 1 | 0.26 | 15.88 |
| 2 | -0.32 | 25.81 |
| 3 | 0.14 | 16.20 |
| 4 | 0.98 | 24.52 |
| 5 | -0.24 | 16.03 |
| 6 | -0.31 | 26.29 |